[1]
Material: La2DyBi3
Method: DFT, PBE
State: relaxed

CIF file:
```
data_La2DyBi3
_cell_length_a 4.637
_cell_length_b 6.562
_cell_length_c 13.864
_cell_angle_alpha 90.00
_cell_angle_beta 90.00
_cell_angle_gamma 90.00
_symmetry_space_group_name_H-M 'I m m m'
_symmetry_Int_Tables_number 71
_symmetry_space_group_name_Hall '-I 2 2'
loop_
_atom_site_label
_atom_site_fract_x
_atom_site_fract_y
_atom_site_fract_z
La1 0.000 0.000 0.168
Dy1 0.000 0.000 0.500
Bi1 0.000 0.500 0.160
Bi2 0.000 0.500 0.500
```

[2]
Material: LaDy2Bi
Method: DFT, PBE
State: relaxed

CIF file:
```
data_LaDy2Bi
_cell_length_a 4.057
_cell_length_b 4.057
_cell_length_c 7.553
_cell_angle_alpha 90.00
_cell_angle_beta 90.00
_cell_angle_gamma 90.00
_symmetry_space_group_name_H-M 'P 4/m m m'
_symmetry_Int_Tables_number 123
_symmetry_space_group_name_Hall '-P 4 2'
loop_
_atom_site_label
_atom_site_fract_x
_atom_site_fract_y
_atom_site_fract_z
La1 0.000 0.000 0.000
Dy1 0.500 0.500 0.281
Bi1 0.000 0.000 0.500
```

[3]
Material: LaDyBi
Method: DFT, PBE
State: relaxed

CIF file:
```
data_LaDyBi
_cell_length_a 5.2969
_cell_length_b 5.2969
_cell_length_c 4.1443
_cell_angle_alpha 90.00
_cell_angle_beta 90.00
_cell_angle_gamma 120.00
_symmetry_space_group_name_H-M 'P 3 m 1'
_symmetry_Int_Tables_number 156
_symmetry_space_group_name_Hall 'P 3 -2"'
loop_
_atom_site_label
_atom_site_fract_x
_atom_site_fract_y
_atom_site_fract_z
La1 0.0000 0.0000 0.0000
Dy1 0.3333 0.6667 0.5163
Bi1 0.6667 0.3333 0.4212
```

[4]
Material: LaDy2Bi
Method: DFT, PBE
State: relaxed

CIF file:
```
data_LaDy2Bi
_cell_length_a 4.970
_cell_length_b 4.970
_cell_length_c 4.890
_cell_angle_alpha 90.00
_cell_angle_beta 90.00
_cell_angle_gamma 90.00
_symmetry_space_group_name_H-M 'P 4/m m m'
_symmetry_Int_Tables_number 123
_symmetry_space_group_name_Hall '-P 4 2'
loop_
_atom_site_label
_atom_site_fract_x
_atom_site_fract_y
_atom_site_fract_z
La1 0.000 0.000 0.000
Dy1 0.000 0.500 0.500
Bi1 0.500 0.500 0.000
```

[5]
Material: LaDyBi
Method: DFT, PBE
State: relaxed

CIF file:
```
data_LaDyBi
_cell_length_a 3.661
_cell_length_b 6.006
_cell_length_c 18.506
_cell_angle_alpha 90.00
_cell_angle_beta 90.00
_cell_angle_gamma 90.00
_symmetry_space_group_name_H-M 'I m m m'
_symmetry_Int_Tables_number 71
_symmetry_space_group_name_Hall '-I 2 2'
loop_
_atom_site_label
_atom_site_fract_x
_atom_site_fract_y
_atom_site_fract_z
La1 0.000 0.000 0.167
Dy1 0.000 0.252 0.500
Bi1 0.000 0.000 0.345
```

[6]
Material: LaDyBi2
Method: DFT, PBE
State: relaxed

CIF file:
```
data_LaDyBi2
_cell_length_a 4.5585
_cell_length_b 4.5585
_cell_length_c 23.4166
_cell_angle_alpha 90.00
_cell_angle_beta 90.00
_cell_angle_gamma 120.00
_symmetry_space_group_name_H-M 'R 3 m'
_symmetry_Int_Tables_number 160
_symmetry_space_group_name_Hall 'R 3 -2"'
loop_
_atom_site_label
_atom_site_fract_x
_atom_site_fract_y
_atom_site_fract_z
La1 0.0000 0.0000 0.0000
Dy1 0.0000 0.0000 0.8293
Bi1 0.0000 0.0000 0.4170
Bi2 0.0000 0.0000 0.5785
```

[7]
Material: LaDy4Bi5
Method: DFT, PBE
State: relaxed

CIF file:
```
data_LaDy4Bi5
_cell_length_a 14.992
_cell_length_b 4.529
_cell_length_c 11.081
_cell_angle_alpha 90.00
_cell_angle_beta 119.47
_cell_angle_gamma 90.00
_symmetry_space_group_name_H-M 'C 1 2/m 1'
_symmetry_Int_Tables_number 12
_symmetry_space_group_name_Hall '-C 2y'
loop_
_atom_site_label
_atom_site_fract_x
_atom_site_fract_y
_atom_site_fract_z
La1 0.000 0.000 0.000
Dy1 0.097 0.500 0.398
Dy2 0.202 0.000 0.796
Bi1 0.000 0.000 0.500
Bi2 0.106 0.500 0.897
Bi3 0.203 0.000 0.308
```

[8]
Material: La5Dy3Bi12
Method: DFT, PBE
State: relaxed

CIF file:
```
data_La5Dy3Bi12
_cell_length_a 18.732
_cell_length_b 18.732
_cell_length_c 18.732
_cell_angle_alpha 90.00
_cell_angle_beta 90.00
_cell_angle_gamma 90.00
_symmetry_space_group_name_H-M 'I a -3 d'
_symmetry_Int_Tables_number 230
_symmetry_space_group_name_Hall '-I 4bd 2c 3'
loop_
_atom_site_label
_atom_site_fract_x
_atom_site_fract_y
_atom_site_fract_z
La1 0.000 0.000 0.000
La2 0.000 0.250 0.375
Dy1 0.000 0.250 0.125
Bi1 0.015 0.088 0.657
```

[9]
Material: LaDy3Bi3
Method: DFT, PBE
State: relaxed

CIF file:
```
data_LaDy3Bi3
_cell_length_a 9.3407
_cell_length_b 9.3407
_cell_length_c 18.8556
_cell_angle_alpha 90.00
_cell_angle_beta 90.00
_cell_angle_gamma 120.00
_symmetry_space_group_name_H-M 'R -3'
_symmetry_Int_Tables_number 148
_symmetry_space_group_name_Hall '-R 3'
loop_
_atom_site_label
_atom_site_fract_x
_atom_site_fract_y
_atom_site_fract_z
La1 0.0000 0.0000 0.1660
Dy1 0.0008 0.7387 0.5826
Bi1 0.0020 0.6208 0.4151
```

[10]
Material: LiLaDyBi
Method: DFT, PBE
State: relaxed

CIF file:
```
data_LiLaDyBi
_cell_length_a 7.697
_cell_length_b 7.697
_cell_length_c 7.697
_cell_angle_alpha 90.00
_cell_angle_beta 90.00
_cell_angle_gamma 90.00
_symmetry_space_group_name_H-M 'F -4 3 m'
_symmetry_Int_Tables_number 216
_symmetry_space_group_name_Hall 'F -4 2 3'
loop_
_atom_site_label
_atom_site_fract_x
_atom_site_fract_y
_atom_site_fract_z
Li1 0.000 0.000 0.000
La1 0.250 0.250 0.750
Dy1 0.250 0.250 0.250
Bi1 0.000 0.000 0.500
```

Number 1: calculated formation energy -0.980 eV per atom, volume 35.2 Å³/atom. Number 2: calculated formation energy -0.350 eV per atom, volume 31.1 Å³/atom. Number 3: calculated formation energy -0.354 eV per atom, volume 33.6 Å³/atom. Number 4: calculated formation energy -0.391 eV per atom, volume 30.2 Å³/atom. Number 5: calculated formation energy -0.341 eV per atom, volume 33.9 Å³/atom. Number 6: calculated formation energy -0.836 eV per atom, volume 35.1 Å³/atom. Number 7: calculated formation energy -0.893 eV per atom, volume 32.7 Å³/atom. Number 8: calculated formation energy -0.306 eV per atom, volume 41.1 Å³/atom. Number 9: calculated formation energy -0.667 eV per atom, volume 33.9 Å³/atom. Number 10: calculated formation energy -0.351 eV per atom, volume 28.5 Å³/atom.